Entry 1:
DFT (PBE) results for crystalline Ac3Pu4Si4 at its relaxed geometry.

Cell lengths 7.4782, 7.4782, 7.4782 Å; angles 109.47, 109.47, 109.47 degrees
Closest atoms and distances in Å follow each position.
Fractional coordinates of all 11 atoms:
Ac: 0.0000 0.5000 0.5000  4 Si 3.55, 4 Pu 3.57
Ac: 0.5000 0.0000 0.5000  4 Si 3.55, 4 Pu 3.57
Ac: 0.5000 0.5000 0.0000  4 Si 3.55, 4 Pu 3.57
Pu: 0.0000 0.0000 0.2544  4 Si 2.70-2.87
Pu: 0.0000 0.2544 0.0000  4 Si 2.70-2.87
Pu: 0.2544 0.0000 0.0000  4 Si 2.70-2.87
Pu: 0.7456 0.7456 0.7456  4 Si 2.70-2.87
Si: 0.0000 0.0000 0.6152  4 Pu 2.70-2.87
Si: 0.0000 0.6152 0.0000  4 Pu 2.70-2.87
Si: 0.3848 0.3848 0.3848  4 Pu 2.70-2.87
Si: 0.6152 0.0000 0.0000  4 Pu 2.70-2.87

Symmetry: I-43m, No. 217
Formation energy from raw total energies in eV/atom: -0.15

Entry 2:
DFT (PBE) results for crystalline Rb3BaTl3I8 at its relaxed geometry.

Cell lengths 10.4527, 10.4527, 10.4527 Å; angles 58.54, 58.54, 58.54 degrees
Closest atoms and distances in Å follow each position.
Fractional coordinates of all 15 atoms:
Rb: 0.0000 0.5000 0.5000  6 I 3.71-3.73
Rb: 0.5000 0.0000 0.5000  6 I 3.71-3.73
Rb: 0.5000 0.5000 0.0000  6 I 3.71-3.73
Ba: 0.5000 0.5000 0.5000  6 I 3.47
Tl: 0.0000 0.0000 0.5000  6 I 3.59-3.60
Tl: 0.0000 0.5000 0.0000  6 I 3.59-3.60
Tl: 0.5000 0.0000 0.0000  6 I 3.59-3.60
I: 0.2463 0.2463 0.2463  3 Tl 3.60, 3 Rb 3.71
I: 0.2542 0.7373 0.7373  1 Ba 3.47, 2 Tl 3.59, 2 Rb 3.73
I: 0.2627 0.2627 0.7458  1 Ba 3.47, 2 Tl 3.59, 2 Rb 3.73
I: 0.2627 0.7458 0.2627  1 Ba 3.47, 2 Tl 3.59, 2 Rb 3.73
I: 0.7373 0.2542 0.7373  1 Ba 3.47, 2 Tl 3.59, 2 Rb 3.73
I: 0.7373 0.7373 0.2542  1 Ba 3.47, 2 Tl 3.59, 2 Rb 3.73
I: 0.7458 0.2627 0.2627  1 Ba 3.47, 2 Tl 3.59, 2 Rb 3.73
I: 0.7537 0.7537 0.7537  3 Tl 3.60, 3 Rb 3.71

Symmetry: R-3m, No. 166
Formation energy from raw total energies in eV/atom: -1.22

Entry 3:
DFT (PBE) results for crystalline Tm3Ga2Au4 at its relaxed geometry.

Cell lengths 5.7563, 5.7563, 8.6513 Å; angles 114.25, 114.25, 46.50 degrees
Closest atoms and distances in Å follow each position.
Fractional coordinates of all 9 atoms:
Tm: 0.0000 0.0000 0.0000  8 Au 3.08-3.32, 4 Ga 3.31
Tm: 0.3467 0.3467 0.3185  8 Au 3.03-3.24, 4 Ga 3.11-3.15, 1 Tm 3.36
Tm: 0.6533 0.6533 0.6815  8 Au 3.03-3.24, 4 Ga 3.11-3.15, 1 Tm 3.36
Ga: 0.3634 0.3634 0.6916  3 Au 2.58
Ga: 0.6366 0.6366 0.3084  3 Au 2.58
Au: 0.0753 0.0753 0.3989  2 Ga 2.58, 1 Au 2.84
Au: 0.2858 0.2858 0.9345  1 Ga 2.58, 2 Au 2.79
Au: 0.7142 0.7142 0.0655  1 Ga 2.58, 2 Au 2.79
Au: 0.9247 0.9247 0.6011  2 Ga 2.58, 1 Au 2.84

Symmetry: C2/m, No. 12
Energy of formation from the pure elements in eV per atom: -0.797

Entry 4:
DFT (PBE) results for crystalline Tl3Cd4Hg2Bi2 at its relaxed geometry.

Cell lengths 16.4435, 16.4435, 16.4435 Å; angles 164.08, 164.08, 22.59 degrees
Closest atoms and distances in Å follow each position.
Fractional coordinates of all 11 atoms:
Tl: 0.0000 0.0000 0.0000  8 Cd 3.08
Tl: 0.1691 0.1691 0.0000  1 Hg 3.18, 4 Bi 3.47
Tl: 0.8309 0.8309 0.0000  1 Hg 3.18, 4 Bi 3.47
Cd: 0.0645 0.5645 0.5000  2 Tl 3.08, 2 Bi 3.09, 4 Cd 3.22
Cd: 0.4355 0.9355 0.5000  2 Tl 3.08, 2 Bi 3.09, 4 Cd 3.22
Cd: 0.5645 0.0645 0.5000  2 Tl 3.08, 2 Bi 3.09, 4 Cd 3.22
Cd: 0.9355 0.4355 0.5000  2 Tl 3.08, 2 Bi 3.09, 4 Cd 3.22
Hg: 0.2676 0.2676 0.0000  1 Tl 3.18, 1 Bi 3.33, 4 Hg 3.41
Hg: 0.7324 0.7324 0.0000  1 Tl 3.18, 1 Bi 3.33, 4 Hg 3.41
Bi: 0.3707 0.3707 0.0000  4 Cd 3.09, 1 Hg 3.33
Bi: 0.6293 0.6293 0.0000  4 Cd 3.09, 1 Hg 3.33

Symmetry: I4/mmm, No. 139
Energy of formation from the pure elements in eV per atom: 0.045

Entry 5:
DFT (PBE) results for crystalline SrAc2Sn3Au6 at its relaxed geometry.

Cell lengths 4.0550, 4.0550, 21.4679 Å; angles 90.00, 90.00, 90.00 degrees
Closest atoms and distances in Å follow each position.
Fractional coordinates of all 12 atoms:
Sr: 0.0000 0.0000 0.0000  8 Au 3.24
Ac: 0.0000 0.0000 0.3049  4 Au 3.23, 4 Sn 3.48
Ac: 0.0000 0.0000 0.6951  4 Au 3.23, 4 Sn 3.48
Sn: 0.5000 0.5000 0.2130  4 Au 2.88
Sn: 0.5000 0.5000 0.5000  2 Au 2.70
Sn: 0.5000 0.5000 0.7870  4 Au 2.88
Au: 0.0000 0.5000 0.1180  4 Au 2.87, 2 Sn 2.88
Au: 0.0000 0.5000 0.8820  4 Au 2.87, 2 Sn 2.88
Au: 0.5000 0.0000 0.1180  4 Au 2.87, 2 Sn 2.88
Au: 0.5000 0.0000 0.8820  4 Au 2.87, 2 Sn 2.88
Au: 0.5000 0.5000 0.3742  1 Sn 2.70
Au: 0.5000 0.5000 0.6258  1 Sn 2.70

Symmetry: P4/mmm, No. 123
Energy of formation from the pure elements in eV per atom: -0.338

Entry 6:
DFT (PBE) results for crystalline Pu2SiAg at its relaxed geometry.

Cell lengths 3.8622, 3.8622, 5.8497 Å; angles 90.00, 90.00, 90.00 degrees
Closest atoms and distances in Å follow each position.
Fractional coordinates of all 4 atoms:
Pu: 0.0000 0.0000 0.2323  1 Pu 2.72
Pu: 0.0000 0.0000 0.7677  1 Pu 2.72
Si: 0.5000 0.5000 0.0000  2 Ag 2.92, 8 Pu 3.05
Ag: 0.5000 0.5000 0.5000  2 Si 2.92, 8 Pu 3.15

Symmetry: P4/mmm, No. 123
Formation energy from raw total energies in eV/atom: -0.14

Entry 7:
DFT (PBE) results for crystalline SrLuGa2 at its relaxed geometry.

Cell lengths 3.7218, 3.7218, 27.4555 Å; angles 90.00, 90.00, 120.00 degrees
Closest atoms and distances in Å follow each position.
Fractional coordinates of all 12 atoms:
Sr: 0.0000 0.0000 0.0000  6 Ga 3.27
Sr: 0.3333 0.6667 0.6667  6 Ga 3.27
Sr: 0.6667 0.3333 0.3333  6 Ga 3.27
Lu: 0.0000 0.0000 0.5000  6 Ga 3.01
Lu: 0.3333 0.6667 0.1667  6 Ga 3.01
Lu: 0.6667 0.3333 0.8333  6 Ga 3.01
Ga: 0.0000 0.0000 0.2437  3 Lu 3.01, 3 Sr 3.27
Ga: 0.0000 0.0000 0.7563  3 Lu 3.01, 3 Sr 3.27
Ga: 0.3333 0.6667 0.4230  3 Lu 3.01, 3 Sr 3.27
Ga: 0.3333 0.6667 0.9103  3 Lu 3.01, 3 Sr 3.27
Ga: 0.6667 0.3333 0.0897  3 Lu 3.01, 3 Sr 3.27
Ga: 0.6667 0.3333 0.5770  3 Lu 3.01, 3 Sr 3.27

Symmetry: R-3m, No. 166
Energy of formation from the pure elements in eV per atom: -0.225

Entry 8:
DFT (PBE) results for crystalline Ho2Cd2Pd5 at its relaxed geometry.

Cell lengths 8.8467, 8.8467, 8.8467 Å; angles 73.55, 144.42, 118.03 degrees
Closest atoms and distances in Å follow each position.
Fractional coordinates of all 18 atoms:
Ho: 0.0283 0.1267 0.1550  4 Pd 2.75-2.83
Ho: 0.0283 0.3733 0.4017  4 Pd 2.75-2.83
Ho: 0.9717 0.6267 0.5983  4 Pd 2.75-2.83
Ho: 0.9717 0.8733 0.8450  4 Pd 2.75-2.83
Cd: 0.4656 0.7492 0.2164  6 Pd 2.74-2.92
Cd: 0.5009 0.0009 0.5000  4 Pd 2.72
Cd: 0.5009 0.5009 0.0000  4 Pd 2.72
Cd: 0.5328 0.2492 0.7836  6 Pd 2.74-2.92
Pd: 0.0014 0.2060 0.7062  2 Cd 2.72, 4 Pd 2.78-2.99, 2 Ho 2.82-2.83
Pd: 0.0014 0.7952 0.2954  2 Cd 2.72, 4 Pd 2.78-2.99, 2 Ho 2.82-2.83
Pd: 0.4991 0.4993 0.4999  2 Cd 2.74-2.75, 6 Pd 2.91-3.04
Pd: 0.5003 0.0979 0.0991  2 Ho 2.75, 4 Pd 2.78-3.04, 2 Cd 2.91-2.92
Pd: 0.4997 0.2952 0.2938  2 Cd 2.72, 4 Pd 2.78-2.99, 2 Ho 2.82-2.83
Pd: 0.4997 0.7060 0.7046  2 Cd 2.72, 4 Pd 2.78-2.99, 2 Ho 2.82-2.83
Pd: 0.5003 0.9012 0.9025  2 Ho 2.75, 4 Pd 2.78-3.04, 2 Cd 2.91-2.92
Pd: 0.9988 0.4012 0.9009  2 Ho 2.75, 4 Pd 2.78-3.04, 2 Cd 2.91-2.92
Pd: 0.9988 0.5979 0.0975  2 Ho 2.75, 4 Pd 2.78-3.04, 2 Cd 2.91-2.92
Pd: 0.9994 0.9993 0.5001  2 Cd 2.74-2.75, 6 Pd 2.91-3.04

Symmetry: Ima2, No. 46
Energy of formation from the pure elements in eV per atom: -0.524

Entry 9:
DFT (PBE) results for crystalline Ce3Ga2Tc at its relaxed geometry.

Cell lengths 5.6779, 5.6779, 8.8428 Å; angles 100.93, 100.93, 94.20 degrees
Closest atoms and distances in Å follow each position.
Fractional coordinates of all 12 atoms:
Ce: 0.1738 0.8262 0.7500  1 Tc 2.96, 2 Ce 3.01, 4 Ga 3.13-3.29
Ce: 0.2330 0.3090 0.9724  1 Tc 2.60
Ce: 0.3090 0.2330 0.4724  1 Tc 2.60
Ce: 0.6910 0.7670 0.5276  1 Tc 2.60
Ce: 0.7670 0.6910 0.0276  1 Tc 2.60
Ce: 0.8262 0.1738 0.2500  1 Tc 2.96, 2 Ce 3.01, 4 Ga 3.13-3.29
Ga: 0.1018 0.6945 0.3637  1 Tc 2.64, 1 Ga 2.88
Ga: 0.3055 0.8982 0.1363  1 Tc 2.64, 1 Ga 2.88
Ga: 0.6945 0.1018 0.8637  1 Tc 2.64, 1 Ga 2.88
Ga: 0.8982 0.3055 0.6363  1 Tc 2.64, 1 Ga 2.88
Tc: 0.4700 0.5300 0.2500  2 Ce 2.60, 2 Ga 2.64
Tc: 0.5300 0.4700 0.7500  2 Ce 2.60, 2 Ga 2.64

Symmetry: C2/c, No. 15
Energy of formation from the pure elements in eV per atom: -0.316

Entry 10:
DFT (PBE) results for crystalline SrIrRu2 at its relaxed geometry.

Cell lengths 2.9043, 4.8996, 4.9520 Å; angles 90.00, 90.00, 90.00 degrees
Closest atoms and distances in Å follow each position.
Fractional coordinates of all 4 atoms:
Sr: 0.0000 0.0000 0.0000  4 Ru 2.85, 4 Ir 2.87, 2 Sr 2.90
Ir: 0.5000 0.0000 0.5000  4 Ru 2.85, 4 Sr 2.87, 2 Ir 2.90
Ru: 0.0000 0.5000 0.5000  4 Ir 2.85, 6 Ru 2.87-2.90
Ru: 0.5000 0.5000 0.0000  4 Sr 2.85, 6 Ru 2.87-2.90

Symmetry: Pmmm, No. 47
ΔE to the lowest computed polymorph in meV/atom: 364
Energy of formation from the pure elements in eV per atom: 0.762

Entry 11:
DFT (PBE) results for crystalline YBeTe2N at its relaxed geometry.

Cell lengths 5.7170, 5.7170, 3.1627 Å; angles 90.00, 90.00, 90.00 degrees
Closest atoms and distances in Å follow each position.
Fractional coordinates of all 5 atoms:
Y: 0.0000 0.0000 0.0000  2 Y 3.16, 8 Te 3.27
Be: 0.5000 0.5000 0.5000  2 N 1.58
Te: 0.0000 0.5000 0.5000  2 Be 2.86, 2 Te 3.16
Te: 0.5000 0.0000 0.5000  2 Be 2.86, 2 Te 3.16
N: 0.5000 0.5000 0.0000  2 Be 1.58

Symmetry: P4/mmm, No. 123
ΔE to the lowest computed polymorph in meV/atom: 0
Formation energy from raw total energies in eV/atom: -0.18

Entry 12:
DFT (PBE) results for crystalline Zr2CSe at its relaxed geometry.

Cell lengths 3.4675, 3.4675, 19.1639 Å; angles 90.00, 90.00, 120.00 degrees
Closest atoms and distances in Å follow each position.
Fractional coordinates of all 12 atoms:
Zr: 0.0000 0.0000 0.0000  3 C 2.38
Zr: 0.0000 0.0000 0.2048  3 C 2.32
Zr: 0.3333 0.6667 0.6667  3 C 2.38
Zr: 0.3333 0.6667 0.8715  3 C 2.32
Zr: 0.6667 0.3333 0.3333  3 C 2.38
Zr: 0.6667 0.3333 0.5381  3 C 2.32
C: 0.0000 0.0000 0.5991  6 Zr 2.32-2.38
C: 0.3333 0.6667 0.2658  6 Zr 2.32-2.38
C: 0.6667 0.3333 0.9325  6 Zr 2.32-2.38
Se: 0.0000 0.0000 0.7685  6 Zr 2.80-2.81
Se: 0.3333 0.6667 0.4352  6 Zr 2.80-2.81
Se: 0.6667 0.3333 0.1019  6 Zr 2.80-2.81

Symmetry: R3m, No. 160
Formation energy from raw total energies in eV/atom: -1.18

Which formula does entry 2 have? Rb3BaTl3I8

What is the formula in the fifth record? SrAc2Sn3Au6

What is the formula in the fourth record? Tl3Cd4Hg2Bi2